(1)
Entry from Alexandria via LeMat-Bulk: a geometry-optimized LiSi2Mo structure (GGA-PBE).

The space group is P4/mmm (No. 123) and the conventional cell measures 3.2020, 3.2020 and 5.3055 Å, with angles of 90.00, 90.00 and 90.00 degrees. The inequivalent atoms are Li at (0.0000, 0.0000, 0.0000), Si at (0.5000, 0.5000, 0.2499) and Mo at (0.0000, 0.0000, 0.5000).

The calculation puts the energy above the most stable polymorph in this dataset at 0 meV per atom.

***

(2)
Entry from Alexandria via LeMat-Bulk: a geometry-optimized LiSiMo3 structure (GGA-PBE).

The space group is Pm-3m (No. 221) and the conventional cell measures 4.1856, 4.1856 and 4.1856 Å, with angles of 90.00, 90.00 and 90.00 degrees. The inequivalent atoms are Li at (0.0000, 0.0000, 0.0000), Si at (0.5000, 0.5000, 0.5000) and Mo at (0.0000, 0.0000, 0.5000).

The calculation puts the energy above the most stable polymorph in this dataset at 50 meV per atom.

***

(3)
Entry from Alexandria via LeMat-Bulk: a geometry-optimized LiSi2Mo2 structure (GGA-PBE).

The space group is P4/mbm (No. 127) and the conventional cell measures 6.6973, 6.6973 and 3.2651 Å, with angles of 90.00, 90.00 and 90.00 degrees. The inequivalent atoms are Li at (0.0000, 0.0000, 0.0000), Si at (0.1370, 0.3630, 0.5000) and Mo at (0.1592, 0.6592, 0.0000).

The calculation puts the energy above the most stable polymorph in this dataset at 252 meV per atom.

***

(4)
Entry from Alexandria via LeMat-Bulk: a geometry-optimized LiSi2Mo structure (GGA-PBE).

The space group is R3m (No. 160, hexagonal axes) and the conventional cell measures 2.8640, 2.8640 and 25.3499 Å, with angles of 90.00, 90.00 and 120.00 degrees. The inequivalent atoms are Li at (0.0000, 0.0000, 0.0000), Si at (0.0000, 0.0000, 0.4911), Si at (0.0000, 0.0000, 0.7490) and Mo at (0.0000, 0.0000, 0.2372).

The calculation puts the energy above the most stable polymorph in this dataset at 443 meV per atom.

***

(5)
Entry from Alexandria via LeMat-Bulk: a geometry-optimized LiSiMo3 structure (GGA-PBE).

The space group is Pm-3m (No. 221) and the conventional cell measures 4.5472, 4.5472 and 4.5472 Å, with angles of 90.00, 90.00 and 90.00 degrees. The inequivalent atoms are Li at (0.0000, 0.0000, 0.0000), Si at (0.5000, 0.5000, 0.5000) and Mo at (0.0000, 0.5000, 0.5000).

The calculation puts the energy above the most stable polymorph in this dataset at 0 meV per atom.

***

(6)
Entry from Alexandria via LeMat-Bulk: a geometry-optimized LiSi2Mo structure (GGA-PBE).

The space group is I-42d (No. 122) and the conventional cell measures 3.7150, 3.7150 and 17.2082 Å, with angles of 90.00, 90.00 and 90.00 degrees. The inequivalent atoms are Li at (0.0000, 0.0000, 0.0000), Si at (0.2436, 0.2500, 0.6250) and Mo at (0.0000, 0.0000, 0.5000).

The calculation puts the energy above the most stable polymorph in this dataset at 570 meV per atom.

***

(7)
Entry from Alexandria via LeMat-Bulk: a geometry-optimized LiSiSnMo2 structure (GGA-PBE).

The space group is P4/mmm (No. 123) and the conventional cell measures 4.3857, 4.3857 and 4.2627 Å, with angles of 90.00, 90.00 and 90.00 degrees. The inequivalent atoms are Li at (0.0000, 0.0000, 0.0000), Si at (0.5000, 0.5000, 0.5000), Sn at (0.0000, 0.0000, 0.5000) and Mo at (0.0000, 0.5000, 0.0000).

***

(8)
Entry from Alexandria via LeMat-Bulk: a geometry-optimized LiTaSiMo2 structure (GGA-PBE).

The space group is P4/mmm (No. 123) and the conventional cell measures 4.5189, 4.5189 and 4.7516 Å, with angles of 90.00, 90.00 and 90.00 degrees. The inequivalent atoms are Li at (0.0000, 0.0000, 0.0000), Ta at (0.5000, 0.5000, 0.0000), Si at (0.5000, 0.5000, 0.5000) and Mo at (0.0000, 0.5000, 0.5000).

***

Calculated uncorrected energy in order - -6.089 -6.777 -6.957 -5.646 -6.827 -5.519 -5.409 -7.117 eV/atom
Calculated formation energy from raw total energies in order - -0.19 1.19 -0.07 0.25 1.14 0.38 1.19 1.05 eV/atom